1.
PmNi5P3: relaxed, GGA-PBE.

abc: 3.6021 11.6587 11.4646
angles: 90.00 90.00 90.00
Space group Cmcm (No. 63)
Asymmetric unit:
Pm1 0.0000 0.1597 0.2500 (multiplicity 4)
Ni1 0.0000 0.0000 0.0000 (multiplicity 4)
Ni2 0.0000 0.1999 0.5709 (multiplicity 8)
Ni3 0.0000 0.4488 0.1452 (multiplicity 8)
P1 0.0000 0.1173 0.7500 (multiplicity 4)
P2 0.0000 0.3823 0.5409 (multiplicity 8)

Output
The volume is 481 Å³ per cell. As for the calculated total energy: -228.0 eV for the cell shown. As for the density of states at the Fermi level: 6.00 states/eV/f.u. As for the energy of formation from the pure elements: -0.789 eV/atom.



2.
Pm3Ni4P2: relaxed, GGA-PBE.

abc: 10.5499 3.9583 8.0306
angles: 90.00 102.45 90.00
Space group C2/m (No. 12)
Asymmetric unit:
Pm1 0.0000 0.0000 0.0000 (multiplicity 2)
Pm2 0.1623 0.5000 0.6640 (multiplicity 4)
Ni1 0.0569 0.0000 0.3804 (multiplicity 4)
Ni2 0.2205 0.5000 0.0683 (multiplicity 4)
P1 0.1110 0.5000 0.2820 (multiplicity 4)

Output
The volume is 327 Å³ per cell. As for the calculated total energy: -111.8 eV for the cell shown. As for the density of states at the Fermi level: 4.99 states/eV/f.u. As for the energy of formation from the pure elements: -0.854 eV/atom.



3.
PmNiP: relaxed, GGA-PBE.

abc: 3.9453 3.9453 8.0454
angles: 90.00 90.00 120.00
Space group P6_3/mmc (No. 194)
Asymmetric unit:
Pm1 0.0000 0.0000 0.0000 (multiplicity 2)
Ni1 0.3333 0.6667 0.2500 (multiplicity 2)
P1 0.3333 0.6667 0.7500 (multiplicity 2)

Output
The calculation puts the offset from the most stable computed form at 0.0000 eV per atom. The volume is 108 Å³ per cell. As for the calculated total energy: -39.0 eV for the cell shown. As for the density of states at the Fermi level: 1.43 states/eV/f.u. As for the energy of formation from the pure elements: -1.180 eV/atom.



- Look up the energy of formation from the pure elements of the first one.
  -0.789 eV/atom



- The lowest energy of formation from the pure elements belongs to which entry?
  PmNiP